No. 1
Material: CaHg2Sb
Method: DFT, GGA-PBEsol
State: relaxed

Values from the calculation:
- volume (Å³/atom) = 24.295
- formation energy without anion corrections (eV/atom) = -0.47
- density (g/cm3) = 9.62
- symmetry = P4/mmm, No. 123

Geometry as POSCAR:
```
CaHg2Sb
1.0
4.423 0.000 0.000
0.000 4.423 0.000
0.000 0.000 4.968
Sb Ca Hg
1 1 2
Cartesian
2.211 2.211 2.484
0.000 0.000 2.484
0.000 2.211 0.000
2.211 0.000 0.000
```

***

No. 2
Material: Cu3Ag
Method: DFT, GGA-PBEsol
State: relaxed

Values from the calculation:
- energy of formation (meV per atom) = 90
- volume (Å³/atom) = 12.703
- density (g/cm3) = 9.75
- symmetry = C2/m, No. 12

Geometry as POSCAR:
```
Cu3Ag
1.0
-0.694 -1.207 -2.245
1.244 -3.226 2.904
-4.379 0.469 1.101
Cu Ag
3 1
Cartesian
-1.047 -2.438 0.080
-2.537 -0.369 -0.572
-2.782 -1.526 1.680
0.000 0.000 0.000
```

***

No. 3
Material: LiCuW2
Method: DFT, GGA-PBEsol
State: relaxed

Values from the calculation:
- energy of formation (meV per atom) = 548
- polymorph energy (0 for the lowest one) (kJ per mole of atoms) = 9.9
- volume (Å³/atom) = 14.281
- density (g/cm3) = 12.74
- symmetry = P4/mmm, No. 123

Geometry as POSCAR:
```
LiCuW2
1.0
2.566 0.000 0.000
0.000 2.566 0.000
0.000 0.000 8.675
Cu Li W
1 1 2
Cartesian
1.283 1.283 0.000
1.283 1.283 4.337
0.000 0.000 6.623
0.000 0.000 2.052
```

***

No. 4
Material: Cd3NiPd
Method: DFT, GGA-PBEsol
State: relaxed

Values from the calculation:
- energy of formation (meV per atom) = 752
- volume (Å³/atom) = 24.807
- density (g/cm3) = 6.73
- symmetry = Pm-3m, No. 221

Geometry as POSCAR:
```
Cd3NiPd
1.0
4.987 0.000 0.000
0.000 4.987 0.000
0.000 0.000 4.987
Ni Pd Cd
1 1 3
Cartesian
2.494 2.494 2.494
0.000 0.000 0.000
0.000 2.494 0.000
0.000 0.000 2.494
2.494 0.000 0.000
```

***

No. 5
Material: ReH3Pb
Method: DFT, GGA-PBEsol
State: relaxed

Values from the calculation:
- final energy (eV/atom) = -4.91
- volume (Å³/atom) = 10.084
- density (g/cm3) = 13.06
- symmetry = Pm-3m, No. 221

Geometry as POSCAR:
```
ReH3Pb
1.0
3.694 0.000 0.000
0.000 3.694 0.000
0.000 0.000 3.694
Pb Re H
1 1 3
Cartesian
1.847 1.847 1.847
0.000 0.000 0.000
0.000 1.847 0.000
0.000 0.000 1.847
1.847 0.000 0.000
```

***

No. 6
Material: BeMoPt2
Method: DFT, GGA-PBEsol
State: relaxed

Values from the calculation:
- energy of formation (meV per atom) = -262
- volume (Å³/atom) = 13.470
- density (g/cm3) = 15.26
- symmetry = R-3m, No. 166

Geometry as POSCAR:
```
BeMoPt2
1.0
2.748 0.000 0.000
1.374 2.380 0.000
1.374 0.793 8.239
Be Mo Pt
1 1 2
Cartesian
2.748 1.587 4.119
0.000 0.000 0.000
1.374 0.793 2.301
4.122 2.380 5.938
```

***

Which of these has the lowest density? Cd3NiPd

***

The lowest density belongs to which entry? Cd3NiPd